*a*
Cu2NiRh: relaxed, GGA-PBEsol.

Geometry as CIF:
```
data_Cu2NiRh
_space_group_name_H-M_alt 'P 1'
_space_group_IT_number 1
_cell_length_a 3.571
_cell_length_b 3.571
_cell_length_c 3.680
_cell_angle_alpha 90.00
_cell_angle_beta 90.00
_cell_angle_gamma 90.00
loop_
_space_group_symop_operation_xyz
'x,y,z'
loop_
_atom_site_label
_atom_site_type_symbol
_atom_site_fract_x
_atom_site_fract_y
_atom_site_fract_z
_atom_site_occupancy
Ni1 Ni 0.500 0.500 0.500 1
Rh1 Rh 0.000 0.000 0.500 1
Cu1 Cu 0.000 0.500 0.000 1
Cu2 Cu 0.500 0.000 0.000 1
```

Properties
* calculated volume: 11.73 A^3/atom
* N(E_F): 1.62 states/eV per atom
* space-group type: P4/mmm


*b*
Cu2NiRh: relaxed, GGA-PBEsol.

Geometry as CIF:
```
data_Cu2NiRh
_space_group_name_H-M_alt 'P 1'
_space_group_IT_number 1
_cell_length_a 2.574
_cell_length_b 3.553
_cell_length_c 5.134
_cell_angle_alpha 90.00
_cell_angle_beta 90.00
_cell_angle_gamma 90.00
loop_
_space_group_symop_operation_xyz
'x,y,z'
loop_
_atom_site_label
_atom_site_type_symbol
_atom_site_fract_x
_atom_site_fract_y
_atom_site_fract_z
_atom_site_occupancy
Ni1 Ni 0.000 0.000 0.499 1
Rh1 Rh 0.500 0.500 0.259 1
Cu1 Cu 0.000 0.000 0.989 1
Cu2 Cu 0.500 0.500 0.752 1
```

Properties
* calculated volume: 11.74 A^3/atom
* N(E_F): 1.33 states/eV per atom
* space-group type: Pmm2


*c*
Cu2NiRh: relaxed, GGA-PBEsol.

Geometry as CIF:
```
data_Cu2NiRh
_space_group_name_H-M_alt 'P 1'
_space_group_IT_number 1
_cell_length_a 3.631
_cell_length_b 3.631
_cell_length_c 4.387
_cell_angle_alpha 114.44
_cell_angle_beta 114.44
_cell_angle_gamma 90.00
loop_
_space_group_symop_operation_xyz
'x,y,z'
loop_
_atom_site_label
_atom_site_type_symbol
_atom_site_fract_x
_atom_site_fract_y
_atom_site_fract_z
_atom_site_occupancy
Ni1 Ni 0.500 0.500 0.000 1
Rh1 Rh 0.250 0.750 0.500 1
Cu1 Cu 0.000 0.000 0.000 1
Cu2 Cu 0.750 0.250 0.500 1
```

Properties
* calculated volume: 11.72 A^3/atom
* N(E_F): 1.13 states/eV per atom
* space-group type: I-4m2


*b* has the most favorable energy; the next structure is 0.6 kJ/mol of atoms above.


*a*
SrCuNi: relaxed, GGA-PBEsol.

Geometry as CIF:
```
data_SrCuNi
_space_group_name_H-M_alt 'P 1'
_space_group_IT_number 1
_cell_length_a 4.070
_cell_length_b 4.070
_cell_length_c 4.204
_cell_angle_alpha 90.00
_cell_angle_beta 90.00
_cell_angle_gamma 120.00
loop_
_space_group_symop_operation_xyz
'x,y,z'
loop_
_atom_site_label
_atom_site_type_symbol
_atom_site_fract_x
_atom_site_fract_y
_atom_site_fract_z
_atom_site_occupancy
Sr1 Sr 0.333 0.667 0.500 1
Cu1 Cu 0.000 0.000 0.000 1
Ni1 Ni 0.667 0.333 0.000 1
```

Properties
* calculated volume: 20.11 A^3/atom
* N(E_F): 0.58 states/eV per atom
* space-group type: P-6m2


*b*
SrCuNi: relaxed, GGA-PBEsol.

Geometry as CIF:
```
data_SrCuNi
_space_group_name_H-M_alt 'P 1'
_space_group_IT_number 1
_cell_length_a 4.483
_cell_length_b 4.483
_cell_length_c 4.483
_cell_angle_alpha 60.00
_cell_angle_beta 60.00
_cell_angle_gamma 60.00
loop_
_space_group_symop_operation_xyz
'x,y,z'
loop_
_atom_site_label
_atom_site_type_symbol
_atom_site_fract_x
_atom_site_fract_y
_atom_site_fract_z
_atom_site_occupancy
Cu1 Cu 0.250 0.250 0.250 1
Ni1 Ni 0.000 0.000 0.000 1
Sr1 Sr 0.500 0.500 0.500 1
```

Properties
* calculated volume: 21.23 A^3/atom
* N(E_F): 0.88 states/eV per atom
* space-group type: F-43m


*a* has the most favorable energy; the next structure is 40.3 kJ/mol of atoms above.


*a*
TaCuNi: relaxed, GGA-PBEsol.

Geometry as CIF:
```
data_TaCuNi
_space_group_name_H-M_alt 'P 1'
_space_group_IT_number 1
_cell_length_a 3.130
_cell_length_b 3.130
_cell_length_c 4.574
_cell_angle_alpha 110.01
_cell_angle_beta 110.01
_cell_angle_gamma 90.00
loop_
_space_group_symop_operation_xyz
'x,y,z'
loop_
_atom_site_label
_atom_site_type_symbol
_atom_site_fract_x
_atom_site_fract_y
_atom_site_fract_z
_atom_site_occupancy
Ni1 Ni 0.661 0.661 0.321 1
Cu1 Cu 0.009 0.009 0.018 1
Ta1 Ta 0.331 0.331 0.661 1
```

Properties
* calculated volume: 13.07 A^3/atom
* N(E_F): 0.42 states/eV per atom
* space-group type: I4mm


*b*
TaCuNi: relaxed, GGA-PBEsol.

Geometry as CIF:
```
data_TaCuNi
_space_group_name_H-M_alt 'P 1'
_space_group_IT_number 1
_cell_length_a 2.624
_cell_length_b 4.134
_cell_length_c 4.134
_cell_angle_alpha 120.00
_cell_angle_beta 90.00
_cell_angle_gamma 90.00
loop_
_space_group_symop_operation_xyz
'x,y,z'
loop_
_atom_site_label
_atom_site_type_symbol
_atom_site_fract_x
_atom_site_fract_y
_atom_site_fract_z
_atom_site_occupancy
Ni1 Ni 0.000 0.333 0.667 1
Cu1 Cu 0.000 0.000 0.000 1
Ta1 Ta 0.500 0.667 0.333 1
```

Properties
* calculated volume: 12.95 A^3/atom
* N(E_F): 0.78 states/eV per atom
* space-group type: P-6m2


*c*
TaCuNi: relaxed, GGA-PBEsol.

Geometry as CIF:
```
data_TaCuNi
_space_group_name_H-M_alt 'P 1'
_space_group_IT_number 1
_cell_length_a 2.751
_cell_length_b 3.582
_cell_length_c 4.559
_cell_angle_alpha 113.13
_cell_angle_beta 107.56
_cell_angle_gamma 90.00
loop_
_space_group_symop_operation_xyz
'x,y,z'
loop_
_atom_site_label
_atom_site_type_symbol
_atom_site_fract_x
_atom_site_fract_y
_atom_site_fract_z
_atom_site_occupancy
Ni1 Ni 0.339 0.339 0.677 1
Cu1 Cu 0.993 0.993 0.986 1
Ta1 Ta 0.668 0.668 0.336 1
```

Properties
* calculated volume: 13.01 A^3/atom
* N(E_F): 0.55 states/eV per atom
* space-group type: Imm2


*b* has the most favorable energy; the next structure is 0.6 kJ/mol of atoms above.